{
  "formula": "Zn2In2Ge3",
  "functional": "GGA-PBE",
  "state": "relaxed",
  "lattice": [[-6.631, 3.228, 3.228], [-3.228, 3.228, 6.631], [-3.228, 6.631, 3.228]],
  "species": ["Ge", "Ge", "Ge", "Zn", "Zn", "In", "In"],
  "fractional_positions": [[0.876, 0.876, 0.876], [0.624, 0.624, 0.624], [0.371, 0.371, 0.371], [0.755, 0.755, 0.755], [0.244, 0.244, 0.244], [0.494, 0.494, 0.494], [0.011, 0.011, 0.011]],
  "final_energy_ev_per_atom": -2.877
}

{
  "formula": "Zr3InGe5",
  "functional": "GGA-PBE",
  "state": "relaxed",
  "lattice": [[5.890, 0.000, 0.000], [-2.945, 5.101, 0.000], [0.000, 0.000, 6.946]],
  "species": ["Zr", "Zr", "Zr", "In", "Ge", "Ge", "Ge", "Ge", "Ge"],
  "fractional_positions": [[0.500, 0.000, 0.500], [0.000, 0.500, 0.500], [0.500, 0.500, 0.500], [0.000, 0.000, 0.000], [0.000, 0.000, 0.500], [0.333, 0.667, 0.175], [0.667, 0.333, 0.825], [0.333, 0.667, 0.825], [0.667, 0.333, 0.175]],
  "total_magnetization_mub_per_fu": 0.01,
  "final_energy_ev_per_atom": -5.762
}

{
  "formula": "GeIr15",
  "functional": "GGA-PBE",
  "state": "relaxed",
  "lattice": [[4.727, 0.000, 0.000], [0.000, 35.639, 0.000], [-1.601, 0.000, 4.448]],
  "species": ["Ir", "Ir", "Ir", "Ir", "Ir", "Ir", "Ir", "Ir", "Ir", "Ir", "Ir", "Ir", "Ir", "Ir", "Ir", "Ir", "Ir", "Ir", "Ir", "Ir", "Ir", "Ir", "Ir", "Ir", "Ir", "Ir", "Ir", "Ir", "Ir", "Ir", "Ge", "Ge"],
  "fractional_positions": [[0.000, 0.634, 0.750], [0.500, 0.442, 0.750], [0.500, 0.786, 0.250], [0.000, 0.558, 0.750], [0.000, 0.249, 0.750], [0.500, 0.249, 0.250], [0.500, 0.751, 0.750], [0.500, 0.711, 0.250], [0.000, 0.519, 0.250], [0.500, 0.289, 0.750], [0.500, 0.214, 0.750], [0.500, 0.519, 0.750], [0.500, 0.481, 0.250], [0.500, 0.558, 0.250], [0.500, 0.404, 0.250], [0.000, 0.481, 0.750], [0.000, 0.289, 0.250], [0.000, 0.673, 0.250], [0.000, 0.404, 0.750], [0.000, 0.751, 0.250], [0.000, 0.442, 0.250], [0.500, 0.365, 0.750], [0.500, 0.635, 0.250], [0.500, 0.327, 0.250], [0.000, 0.327, 0.750], [0.000, 0.366, 0.250], [0.000, 0.596, 0.250], [0.000, 0.711, 0.750], [0.500, 0.596, 0.750], [0.500, 0.673, 0.750], [0.000, 0.212, 0.250], [0.000, 0.788, 0.750]],
  "relative_energy_mev_per_atom": 39,
  "total_magnetization_mub_per_fu": 0.01
}

{
  "formula": "Ge2Ir",
  "functional": "GGA-PBE",
  "state": "relaxed",
  "lattice": [[6.876, 0.000, 0.000], [0.000, 3.597, 0.000], [0.000, 0.000, 8.042]],
  "species": ["Ge", "Ge", "Ge", "Ge", "Ge", "Ge", "Ge", "Ge", "Ir", "Ir", "Ir", "Ir"],
  "fractional_positions": [[0.365, 0.750, 0.916], [0.865, 0.750, 0.584], [0.033, 0.250, 0.849], [0.635, 0.250, 0.084], [0.967, 0.750, 0.151], [0.135, 0.250, 0.416], [0.533, 0.250, 0.651], [0.467, 0.750, 0.349], [0.239, 0.750, 0.616], [0.761, 0.250, 0.384], [0.261, 0.250, 0.116], [0.739, 0.750, 0.884]],
  "total_magnetization_mub_per_fu": 0.01,
  "final_energy_ev_per_atom": -6.097
}

{
  "formula": "Ge2Ir7",
  "functional": "GGA-PBE",
  "state": "relaxed",
  "lattice": [[2.769, 0.000, 0.000], [-1.384, 2.398, 0.000], [0.000, 0.000, 32.293]],
  "species": ["Ir", "Ir", "Ir", "Ir", "Ir", "Ir", "Ir", "Ge", "Ge"],
  "fractional_positions": [[0.667, 0.333, 0.569], [0.333, 0.667, 0.431], [0.000, 0.000, 0.293], [0.667, 0.333, 0.363], [0.333, 0.667, 0.637], [0.000, 0.000, 0.500], [0.000, 0.000, 0.707], [0.333, 0.667, 0.227], [0.667, 0.333, 0.773]],
  "total_magnetization_mub_per_fu": 0.00,
  "final_energy_ev_per_atom": -7.835
}

{
  "formula": "GeIr15",
  "functional": "GGA-PBE",
  "state": "relaxed",
  "lattice": [[-2.985, -1.064, 2.203], [-1.856, -1.278, -3.133], [18.267, -39.929, 5.466]],
  "species": ["Ir", "Ir", "Ir", "Ir", "Ir", "Ir", "Ir", "Ir", "Ir", "Ir", "Ir", "Ir", "Ir", "Ir", "Ir", "Ir", "Ir", "Ir", "Ir", "Ir", "Ir", "Ir", "Ir", "Ir", "Ir", "Ir", "Ir", "Ir", "Ir", "Ir", "Ge", "Ge"],
  "fractional_positions": [[0.750, 0.000, 0.890], [0.750, 0.000, 0.978], [0.750, 0.500, 0.672], [0.750, 0.000, 0.154], [0.250, 0.000, 0.022], [0.750, 0.000, 0.241], [0.250, 0.500, 0.803], [0.250, 0.500, 0.328], [0.750, 0.500, 0.758], [0.750, 0.000, 0.715], [0.750, 0.500, 0.110], [0.250, 0.500, 0.890], [0.250, 0.000, 0.934], [0.250, 0.000, 0.285], [0.250, 0.500, 0.066], [0.750, 0.500, 0.847], [0.250, 0.500, 0.978], [0.750, 0.000, 0.066], [0.250, 0.500, 0.153], [0.250, 0.000, 0.198], [0.250, 0.000, 0.846], [0.750, 0.500, 0.934], [0.750, 0.000, 0.802], [0.250, 0.500, 0.242], [0.750, 0.500, 0.197], [0.250, 0.000, 0.110], [0.750, 0.500, 0.285], [0.250, 0.000, 0.759], [0.250, 0.500, 0.715], [0.750, 0.500, 0.022], [0.250, 0.000, 0.671], [0.750, 0.000, 0.329]],
  "relative_energy_mev_per_atom": 0,
  "total_magnetization_mub_per_fu": 0.00
}

{
  "formula": "GeIr17",
  "functional": "GGA-PBE",
  "state": "relaxed",
  "lattice": [[4.708, 0.000, 0.000], [0.000, 5.452, 0.000], [-0.009, 0.000, 33.076]],
  "species": ["Ir", "Ir", "Ir", "Ir", "Ir", "Ir", "Ir", "Ir", "Ir", "Ir", "Ir", "Ir", "Ir", "Ir", "Ir", "Ir", "Ir", "Ir", "Ir", "Ir", "Ir", "Ir", "Ir", "Ir", "Ir", "Ir", "Ir", "Ir", "Ir", "Ir", "Ir", "Ir", "Ir", "Ir", "Ge", "Ge"],
  "fractional_positions": [[0.833, 0.995, 0.230], [0.000, 0.750, 0.500], [0.003, 0.250, 0.296], [0.501, 0.499, 0.297], [0.666, 0.750, 0.568], [0.664, 0.250, 0.364], [0.833, 0.000, 0.432], [0.167, 0.495, 0.770], [0.334, 0.250, 0.432], [0.500, 0.500, 0.500], [0.167, 0.500, 0.364], [0.000, 0.250, 0.500], [0.334, 0.750, 0.433], [0.669, 0.250, 0.770], [0.336, 0.750, 0.636], [0.500, 0.000, 0.500], [0.331, 0.750, 0.230], [0.499, 0.999, 0.703], [0.501, 0.001, 0.297], [0.998, 0.750, 0.297], [0.833, 0.500, 0.432], [0.167, 0.000, 0.568], [0.833, 0.000, 0.636], [0.833, 0.500, 0.636], [0.669, 0.750, 0.365], [0.833, 0.505, 0.230], [0.002, 0.250, 0.703], [0.167, 0.005, 0.770], [0.331, 0.250, 0.635], [0.499, 0.501, 0.703], [0.666, 0.250, 0.567], [0.167, 0.000, 0.364], [0.167, 0.500, 0.568], [0.997, 0.750, 0.704], [0.334, 0.250, 0.225], [0.666, 0.750, 0.775]],
  "relative_energy_mev_per_atom": 0,
  "total_magnetization_mub_per_fu": 0.00
}

{
  "formula": "GeIr10",
  "functional": "GGA-PBE",
  "state": "relaxed",
  "lattice": [[-4.029, 0.084, -2.447], [-0.996, -1.249, -4.436], [-6.662, -30.008, 9.948]],
  "species": ["Ge", "Ge", "Ir", "Ir", "Ir", "Ir", "Ir", "Ir", "Ir", "Ir", "Ir", "Ir", "Ir", "Ir", "Ir", "Ir", "Ir", "Ir", "Ir", "Ir", "Ir", "Ir"],
  "fractional_positions": [[0.147, 0.147, 0.221], [0.853, 0.853, 0.779], [0.150, 0.150, 0.487], [0.051, 0.051, 0.406], [0.252, 0.252, 0.298], [0.653, 0.653, 0.352], [0.750, 0.750, 0.433], [0.949, 0.949, 0.594], [0.451, 0.451, 0.460], [0.050, 0.050, 0.674], [0.453, 0.453, 0.728], [0.250, 0.250, 0.567], [0.547, 0.547, 0.272], [0.950, 0.950, 0.326], [0.549, 0.549, 0.540], [0.849, 0.849, 0.245], [0.347, 0.347, 0.648], [0.647, 0.647, 0.621], [0.748, 0.748, 0.702], [0.850, 0.850, 0.513], [0.353, 0.353, 0.379], [0.151, 0.151, 0.755]],
  "total_magnetization_mub_per_fu": 0.00,
  "final_energy_ev_per_atom": -8.389
}

Question: Number 3 is which compound?
Answer: GeIr15

Question: Which formula does entry 5 have?
Answer: Ge2Ir7